[1]
Compound: Tl5Hg4
Source: Alexandria
Functional: meta-GGA SCAN
Structure: PBEsol geometry

a = 9.4319 Å, b = 9.4319 Å, c = 6.2083 Å
α = 90.00°, β = 90.00°, γ = 120.00°
Space group P6_3/mcm (No. 193)
Inequivalent atoms, fractional coordinates:
Tl 0.0000 0.2987 0.2500 x6
Tl 0.3333 0.6667 0.0000 x4
Hg 0.0000 0.0000 0.0000 x2
Hg 0.0000 0.3647 0.7500 x6

ρ in kg/m³: 12667
Formation energy from the elements in kJ per mole of atoms: -0.6
VASP energy in eV per atom: -70.50
Magnetic moment in μB/cell: 0.00

***

[2]
Compound: HgBrCl2
Source: Alexandria
Functional: meta-GGA SCAN
Structure: PBEsol geometry

a = 4.696 Å, b = 4.839 Å, c = 4.925 Å
α = 90.00°, β = 90.00°, γ = 90.00°
Space group Pmm2 (No. 25)
Inequivalent atoms, fractional coordinates:
Hg 0.000 0.000 0.000 x1
Br 0.500 0.500 0.002 x1
Cl 0.000 0.000 0.500 x1
Cl 0.500 0.500 0.502 x1

ρ in kg/m³: 5214
VASP energy in eV per atom: -26.03
Magnetic moment in μB/cell: 0.00
Formation energy without anion corrections in kcal/mol of atoms: -3.0

***

[3]
Compound: TiAg2I6O18
Source: Alexandria
Functional: meta-GGA SCAN
Structure: PBEsol geometry

a = 10.7285 Å, b = 10.7285 Å, c = 11.1406 Å
α = 90.00°, β = 90.00°, γ = 120.00°
Space group R-3 (No. 148, hexagonal axes)
Inequivalent atoms, fractional coordinates:
Ti 0.0000 0.0000 0.0000 x3
Ag 0.0000 0.0000 0.3106 x6
I 0.0032 0.6114 0.7737 x18
O 0.0724 0.4942 0.3644 x18
O 0.0829 0.1704 0.1026 x18
O 0.0828 0.5283 0.1093 x18

ρ in kg/m³: 5890
VASP energy in eV per atom: -15.90
Magnetic moment in μB/cell: 0.01
Formation energy without anion corrections in kcal/mol of atoms: -15.2